1.
Compound: AcTbAl2Hg5
Source: the Alexandria database
Functional: PBE
Structure: relaxed

Unit cell a=5.248 b=5.248 c=8.395 alpha=90.00 beta=90.00 gamma=90.00
Element x y z (fractional)
Ac 0.000 0.000 0.000
Tb 0.000 0.000 0.500
Al 0.500 0.500 0.344
Al 0.500 0.500 0.656
Hg 0.000 0.500 0.272
Hg 0.000 0.500 0.728
Hg 0.500 0.000 0.272
Hg 0.500 0.000 0.728
Hg 0.500 0.500 0.000

Computed properties:
**Space-group type**: P4/mmm, No. 123
**Electronic total energy**: -2.159 eV/atom
**Energy of formation**: -0.1886 eV per atom
**Density of states at the Fermi level**: 0.501 states/eV/atom

2.
Compound: TbPm2Ho2Tm
Source: the Alexandria database
Functional: PBE
Structure: relaxed

Unit cell a=6.984 b=5.630 c=9.742 alpha=90.00 beta=90.00 gamma=90.00
Element x y z (fractional)
Tb 0.250 0.000 0.157
Tb 0.750 0.000 0.843
Pm 0.000 0.000 0.500
Pm 0.250 0.500 0.679
Pm 0.500 0.000 0.500
Pm 0.750 0.500 0.321
Ho 0.250 0.000 0.830
Ho 0.250 0.500 0.337
Ho 0.750 0.000 0.170
Ho 0.750 0.500 0.663
Tm 0.000 0.500 0.000
Tm 0.500 0.500 0.000

Computed properties:
**Space-group type**: Pmma, No. 51
**Electronic total energy**: -4.561 eV/atom
**Energy of formation**: 0.0654 eV per atom
**Density of states at the Fermi level**: 1.568 states/eV/atom

3.
Compound: ScAu2F2
Source: the Alexandria database
Functional: PBE
Structure: relaxed

Unit cell a=7.436 b=7.436 c=3.038 alpha=90.00 beta=90.00 gamma=90.00
Element x y z (fractional)
Sc 0.000 0.000 0.000
Sc 0.500 0.500 0.000
Au 0.123 0.377 0.000
Au 0.377 0.877 0.000
Au 0.623 0.123 0.000
Au 0.877 0.623 0.000
F 0.192 0.692 0.500
F 0.308 0.192 0.500
F 0.692 0.808 0.500
F 0.808 0.308 0.500

Computed properties:
**Space-group type**: P4/mbm, No. 127
**E above lowest polymorph**: 0.352 eV/atom
**Electronic total energy**: -3.943 eV/atom
**Uncorrected formation energy**: -14.23 kcal/mol of atoms
**Density of states at the Fermi level**: 0.726 states/eV/atom